Record 1
PBE KPb2Au, relaxed; energy of formation = -173.7 meV per atom
1.0
6.491 -1.779 0.000
6.491 1.779 0.000
-2.631 0.000 5.226
K Pb Au
1 2 1
direct
0.000 0.000 0.000
0.207 0.207 0.706
0.793 0.793 0.294
0.500 0.500 0.500

Record 2
PBE VFeIrRh, relaxed; energy of formation = -171.2 meV per atom; distance to the lowest polymorph of the same formula = 135.3 meV/atom
1.0
0.000 3.015 3.015
3.015 0.000 3.015
3.015 3.015 0.000
V Fe Ir Rh
1 1 1 1
direct
0.000 0.000 0.000
0.500 0.500 0.500
0.250 0.250 0.250
0.750 0.750 0.750

Record 3
PBE DyPt10Pb, relaxed; energy of formation = -383.9 meV per atom
1.0
4.451 0.000 0.000
0.000 5.410 0.000
0.000 0.000 9.289
Dy Pt Pb
1 10 1
direct
0.000 0.000 0.000
0.000 0.000 0.332
0.000 0.000 0.668
0.000 0.500 0.165
0.000 0.500 0.835
0.500 0.000 0.500
0.500 0.246 0.244
0.500 0.246 0.756
0.500 0.500 0.000
0.500 0.754 0.244
0.500 0.754 0.756
0.000 0.500 0.500

Number 1: density 8.9 g/cm3. Number 2: density 12.2 g/cm3. Number 3: density 17.2 g/cm3.